1.
Density functional theory data (GGA-PBE) for HoTmSnC after structural relaxation.

Results
The total energy comes out at -49.2 eV per cell.

Unit cell a=3.5832 b=3.5832 c=15.6816 alpha=90.00 beta=90.00 gamma=120.00
Sites, in units of the cell vectors:
1 Ho 0.6667 0.3333 0.5843
2 Ho 0.3333 0.6667 0.0843
3 Sn 0.3333 0.6667 0.7508
4 Sn 0.6667 0.3333 0.2508
5 C 0.0000 0.0000 0.4992
6 C 0.0000 0.0000 0.9992
7 Tm 0.6667 0.3333 0.9157
8 Tm 0.3333 0.6667 0.4157



2.
Density functional theory data (GGA-PBE) for ThNi12B6 after structural relaxation.

Results
The total energy comes out at -122.0 eV per cell.

Unit cell a=6.0416 b=6.0416 c=6.0416 alpha=104.43 beta=104.43 gamma=104.43
Sites, in units of the cell vectors:
1 Ni 0.5000 0.1310 0.8690
2 Ni 0.4548 0.1868 0.4548
3 Ni 0.8690 0.1310 0.5000
4 Ni 0.1868 0.4548 0.4548
5 Ni 0.4548 0.4548 0.1868
6 Ni 0.1310 0.8690 0.5000
7 Ni 0.1310 0.5000 0.8690
8 Ni 0.8132 0.5452 0.5452
9 Ni 0.5452 0.5452 0.8132
10 Ni 0.5452 0.8132 0.5452
11 Ni 0.8690 0.5000 0.1310
12 Ni 0.5000 0.8690 0.1310
13 B 0.2333 0.6667 0.2333
14 B 0.6667 0.2333 0.2333
15 B 0.3332 0.7667 0.7667
16 B 0.7667 0.7667 0.3332
17 B 0.2333 0.2333 0.6667
18 B 0.7667 0.3332 0.7667
19 Th 0.0000 0.0000 0.0000



3.
Density functional theory data (GGA-PBE) for HfMg after structural relaxation.

Results
The total energy comes out at -22.5 eV per cell.

Unit cell a=5.7746 b=3.0581 c=4.9780 alpha=90.00 beta=90.00 gamma=90.00
Sites, in units of the cell vectors:
1 Hf 0.4879 0.5000 0.0000
2 Hf 0.3455 0.0000 0.5000
3 Mg 0.0041 0.0000 0.0000
4 Mg 0.8292 0.5000 0.5000



4.
Density functional theory data (GGA-PBE) for NaTcB after structural relaxation.

Results
The energy above the most stable polymorph in this dataset is 1223 meV/atom.

Unit cell a=4.0553 b=4.0553 c=4.0553 alpha=60.00 beta=60.00 gamma=60.00
Sites, in units of the cell vectors:
1 Na 0.0000 0.0000 0.0000
2 Tc 0.7500 0.7500 0.7500
3 B 0.2500 0.2500 0.2500



5.
Density functional theory data (GGA-PBE) for PrInGaTe3 after structural relaxation.

Results
The total energy comes out at -47.9 eV per cell.

Unit cell a=7.5815 b=7.5815 c=11.9222 alpha=90.00 beta=90.00 gamma=142.71
Sites, in units of the cell vectors:
1 Ga 0.0163 0.9837 0.2500
2 Ga 0.9837 0.0163 0.7500
3 In 0.7438 0.2562 0.2500
4 In 0.2562 0.7438 0.7500
5 Te 0.4181 0.5819 0.2500
6 Te 0.8605 0.1395 0.9291
7 Te 0.1395 0.8605 0.0709
8 Te 0.1395 0.8605 0.4291
9 Te 0.5819 0.4181 0.7500
10 Te 0.8605 0.1395 0.5709
11 Pr 0.5000 0.5000 0.5000
12 Pr 0.5000 0.5000 0.0000



6.
Density functional theory data (GGA-PBE) for Na3Li2Ni3N3 after structural relaxation.

Results
The total energy comes out at -51.9 eV per cell.

Unit cell a=7.1671 b=7.1671 c=3.4577 alpha=90.00 beta=90.00 gamma=120.00
Sites, in units of the cell vectors:
1 N 0.3942 0.3942 0.0000
2 N 0.0000 0.6058 0.0000
3 N 0.6058 0.0000 0.0000
4 Na 0.0000 0.2566 0.0000
5 Na 0.7434 0.7434 0.0000
6 Na 0.2566 0.0000 0.0000
7 Li 0.3333 0.6667 0.0000
8 Li 0.6667 0.3333 0.0000
9 Ni 0.3915 0.3915 0.5000
10 Ni 0.0000 0.6085 0.5000
11 Ni 0.6085 0.0000 0.5000



7.
Density functional theory data (GGA-PBE) for LaPaBi after structural relaxation.

Results
The energy above the most stable polymorph in this dataset is 0 meV/atom.

Unit cell a=5.3414 b=5.3414 c=5.3414 alpha=60.00 beta=60.00 gamma=60.00
Sites, in units of the cell vectors:
1 La 0.7500 0.7500 0.7500
2 Bi 0.2500 0.2500 0.2500
3 Pa 0.0000 0.0000 0.0000